# 1
Density functional theory data (PBE) for an optimized crystal structure of Tb2Pm3PrSm6.

Summary:
Its uncorrected energy is -56.44 eV per cell. As for the formation energy: 0.014 eV per atom. The space group is C2/m (12).

Lattice parameters (Å, degrees): 6.286 6.286 12.048 95.00 95.00 119.98
Fractional positions:
1 Sm 0.582 0.917 0.751
2 Sm 0.917 0.582 0.751
3 Tb 0.667 0.333 0.000
4 Pm 0.500 0.500 0.500
5 Sm 0.251 0.251 0.751
6 Tb 0.333 0.667 0.000
7 Sm 0.749 0.749 0.249
8 Sm 0.418 0.083 0.249
9 Pm 0.833 0.167 0.500
10 Sm 0.083 0.418 0.249
11 Pr 0.000 0.000 0.000
12 Pm 0.167 0.833 0.500


# 2
Density functional theory data (PBE) for an optimized crystal structure of Ni4Os.

Summary:
As for the energy above the most stable polymorph in this dataset: 0.00 eV/f.u. Its uncorrected energy is -34.12 eV per cell. As for the formation energy: 0.048 eV per atom. The space group is I4/m (87).

Lattice parameters (Å, degrees): 3.555 4.399 4.399 99.39 113.83 66.17
Fractional positions:
1 Ni 0.799 0.806 0.403
2 Ni 0.395 0.403 0.194
3 Ni 0.201 0.194 0.597
4 Os 0.000 0.000 0.000
5 Ni 0.605 0.597 0.806


# 3
Density functional theory data (PBE) for an optimized crystal structure of TbY2Ag.

Summary:
As for the energy above the most stable polymorph in this dataset: 0.05 eV/f.u. Its uncorrected energy is -41.78 eV per cell. As for the formation energy: -0.121 eV per atom. The space group is C2/c (15).

Lattice parameters (Å, degrees): 6.684 6.685 6.932 118.83 118.83 90.00
Fractional positions:
1 Ag 0.750 0.250 0.000
2 Tb 0.252 0.250 0.000
3 Tb 0.748 0.750 0.000
4 Y 0.181 0.681 0.498
5 Ag 0.250 0.750 0.000
6 Y 0.318 0.181 0.498
7 Y 0.819 0.319 0.502
8 Y 0.682 0.819 0.502


# 4
Density functional theory data (PBE) for an optimized crystal structure of Cs3In4Hg4.

Summary:
Its uncorrected energy is -16.43 eV per cell. As for the formation energy: -0.156 eV per atom. The space group is I-43m (217).

Lattice parameters (Å, degrees): 8.286 8.286 8.286 109.47 109.47 109.47
Fractional positions:
1 Cs 0.000 0.500 0.500
2 Hg 0.620 0.000 0.000
3 In 0.000 0.000 0.250
4 In 0.250 0.000 0.000
5 Hg 0.000 0.000 0.620
6 Cs 0.500 0.000 0.500
7 Hg 0.380 0.380 0.380
8 In 0.750 0.750 0.750
9 Hg 0.000 0.620 0.000
10 Cs 0.500 0.500 0.000
11 In 0.000 0.250 0.000


# 5
Density functional theory data (PBE) for an optimized crystal structure of MnNi2Cl.

Summary:
As for the energy above the most stable polymorph in this dataset: 1.01 eV/f.u. Its uncorrected energy is -21.27 eV per cell. The space group is Immm (71).

Lattice parameters (Å, degrees): 4.990 4.990 4.990 146.86 127.76 63.27
Site moments in Bohr magnetons follow the coordinates.
Fractional positions:
1 Ni 0.507 0.507 0.000  0.54
2 Ni 0.993 0.993 0.000  0.54
3 Cl 0.750 0.250 0.500  0.03
4 Mn 0.250 0.750 0.500  3.69


# 6
Density functional theory data (PBE) for an optimized crystal structure of Sc2TlBi2.

Summary:
As for the energy above the most stable polymorph in this dataset: 0.00 eV/f.u. Its uncorrected energy is -49.52 eV per cell. As for the formation energy: -0.394 eV per atom. The space group is P4/mbm (127).

Lattice parameters (Å, degrees): 8.146 8.146 4.025 90.00 90.00 90.00
Site moments in Bohr magnetons follow the coordinates.
Fractional positions:
1 Tl 0.000 0.000 0.000  0.03
2 Sc 0.858 0.642 0.000  0.16
3 Bi 0.161 0.661 0.500  -0.01
4 Bi 0.661 0.839 0.500  -0.01
5 Sc 0.642 0.142 0.000  0.15
6 Bi 0.839 0.339 0.500  -0.01
7 Tl 0.500 0.500 0.000  0.03
8 Bi 0.339 0.161 0.500  -0.02
9 Sc 0.142 0.358 0.000  0.16
10 Sc 0.358 0.858 0.000  0.15


# 7
Density functional theory data (PBE) for an optimized crystal structure of LaSnPt2.

Summary:
Its uncorrected energy is -46.73 eV per cell. As for the formation energy: -0.588 eV per atom. The space group is I-42d (122).

Lattice parameters (Å, degrees): 5.527 5.527 8.558 71.16 71.16 90.00
Fractional positions:
1 Pt 0.579 0.125 0.250
2 Pt 0.875 0.829 0.750
3 Pt 0.171 0.625 0.250
4 La 0.750 0.250 0.500
5 Pt 0.375 0.421 0.750
6 La 0.000 0.000 0.000
7 Sn 0.250 0.750 0.500
8 Sn 0.500 0.500 0.000


# 8
Density functional theory data (PBE) for an optimized crystal structure of Ac4SnSe3.

Summary:
As for the energy above the most stable polymorph in this dataset: 0.00 eV/f.u. Its uncorrected energy is -43.77 eV per cell. The space group is I4/mmm (139).

Lattice parameters (Å, degrees): 6.467 6.467 7.923 114.09 114.09 90.00
Fractional positions:
1 Ac 0.000 0.500 0.000
2 Se 0.750 0.250 0.500
3 Se 0.500 0.500 0.000
4 Ac 0.500 0.000 0.000
5 Ac 0.253 0.253 0.507
6 Sn 0.000 0.000 0.000
7 Se 0.250 0.750 0.500
8 Ac 0.747 0.747 0.493


# 9
Density functional theory data (PBE) for an optimized crystal structure of AlBiPb.

Summary:
As for the energy above the most stable polymorph in this dataset: 0.06 eV/f.u. Its uncorrected energy is -10.80 eV per cell. As for the formation energy: 0.177 eV per atom. The space group is P3m1 (156).

Lattice parameters (Å, degrees): 4.369 4.369 5.389 90.00 90.00 120.00
Fractional positions:
1 Bi 0.333 0.667 0.608
2 Pb 0.000 0.000 0.036
3 Al 0.667 0.333 0.356


# 10
Density functional theory data (PBE) for an optimized crystal structure of TmPuInCl6.

Summary:
Its uncorrected energy is -97.44 eV per cell. The space group is P-31c (163).

Lattice parameters (Å, degrees): 7.134 7.134 13.829 90.00 90.00 120.00
Site moments in Bohr magnetons follow the coordinates.
Fractional positions:
1 In 0.000 0.000 0.000  0.01
2 Cl 0.356 0.978 0.640  -0.01
3 Pu 0.667 0.333 0.750  5.68
4 Cl 0.978 0.356 0.140  -0.01
5 Cl 0.622 0.644 0.640  -0.01
6 Cl 0.622 0.978 0.860  -0.01
7 Cl 0.378 0.356 0.360  -0.01
8 Cl 0.644 0.622 0.140  -0.01
9 Cl 0.356 0.378 0.860  -0.01
10 Cl 0.644 0.022 0.360  -0.01
11 Cl 0.978 0.622 0.360  -0.01
12 Cl 0.022 0.644 0.860  -0.01
13 Cl 0.378 0.022 0.140  -0.01
14 Tm 0.667 0.333 0.250  0.10
15 Pu 0.333 0.667 0.250  5.68
16 Cl 0.022 0.378 0.640  -0.01
17 Tm 0.333 0.667 0.750  0.10
18 In 0.000 0.000 0.500  0.01


# 11
Density functional theory data (PBE) for an optimized crystal structure of DyCrPt4.

Summary:
Its uncorrected energy is -41.99 eV per cell. As for the formation energy: -0.599 eV per atom. The space group is F-43m (216).

Lattice parameters (Å, degrees): 5.346 5.346 5.346 60.00 60.00 60.00
Site moments in Bohr magnetons follow the coordinates.
Fractional positions:
1 Pt 0.626 0.626 0.123  0.01
2 Cr 0.000 0.000 0.000  3.80
3 Pt 0.123 0.626 0.626  0.01
4 Pt 0.626 0.626 0.626  0.01
5 Pt 0.626 0.123 0.626  0.01
6 Dy 0.250 0.250 0.250  0.16


# 12
Density functional theory data (PBE) for an optimized crystal structure of Re5As3.

Summary:
As for the energy above the most stable polymorph in this dataset: 1.43 eV/f.u. Its uncorrected energy is -142.51 eV per cell. As for the formation energy: 0.617 eV per atom. The space group is P6_3/mcm (193).

Lattice parameters (Å, degrees): 7.050 7.050 5.641 90.00 90.00 120.00
Fractional positions:
1 Re 0.772 0.000 0.750
2 Re 0.667 0.333 0.500
3 As 0.000 0.592 0.250
4 Re 0.333 0.667 0.500
5 As 0.592 0.000 0.250
6 Re 0.000 0.772 0.750
7 Re 0.228 0.000 0.250
8 Re 0.228 0.228 0.750
9 As 0.408 0.000 0.750
10 As 0.592 0.592 0.750
11 Re 0.667 0.333 0.000
12 Re 0.000 0.228 0.250
13 Re 0.772 0.772 0.250
14 As 0.408 0.408 0.250
15 As 0.000 0.408 0.750
16 Re 0.333 0.667 0.000